1.
The following is a DFT calculation (SCAN) of InIrPt2 at its PBEsol-relaxed geometry.

```
InIrPt2
1.0
4.760 0.000 0.000
0.000 4.760 0.000
0.000 0.000 2.792
In Ir Pt
1 1 2
Direct
0.000 0.000 0.000
0.500 0.500 0.000
0.000 0.500 0.500
0.500 0.000 0.500
```

Its formation enthalpy at 0 K is -112 meV per atom. The value obtained for the total magnetic moment is 0.00 μB/f.u. As for the density of states at the Fermi level: 1.92 states/eV per cell. For the density, the calculation gives 18.30 g/cm3.

=====

2.
The following is a DFT calculation (SCAN) of InIrPt2 at its PBEsol-relaxed geometry.

```
InIrPt2
1.0
3.396 0.000 0.000
0.000 3.396 0.000
0.000 0.000 5.573
In Ir Pt
1 1 2
Direct
0.000 0.000 0.000
0.000 0.000 0.500
0.500 0.500 0.264
0.500 0.500 0.736
```

Its formation enthalpy at 0 K is -12 meV per atom. The value obtained for the total magnetic moment is 0.00 μB/f.u. As for the density of states at the Fermi level: 3.20 states/eV per cell. For the density, the calculation gives 18.01 g/cm3.

=====

3.
The following is a DFT calculation (SCAN) of InIrPt2 at its PBEsol-relaxed geometry.

```
InIrPt2
1.0
3.922 0.000 0.000
0.000 3.922 0.000
0.000 0.000 4.063
In Ir Pt
1 1 2
Direct
0.000 0.000 0.000
0.500 0.500 0.000
0.000 0.500 0.500
0.500 0.000 0.500
```

Its formation enthalpy at 0 K is -196 meV per atom. The value obtained for the total magnetic moment is 0.00 μB/f.u. As for the density of states at the Fermi level: 2.21 states/eV per cell. For the density, the calculation gives 18.52 g/cm3.

=====

Question: Look up the total magnetic moment of the third one.
Answer: 0.00 μB/f.u.

=====

Question: Among the records above, which one has the highest formation enthalpy at 0 K?
Answer: number 2

=====

Question: What is the formula in the first record?
Answer: InIrPt2

=====

Question: Look up the total magnetic moment of the second one.
Answer: 0.00 μB/f.u.